Below is a geometry-optimized Zr2ScZn structure, with properties calculated at the GGA-PBEsol level.

Unit cell a=3.160 b=3.160 c=8.058 alpha=90.00 beta=90.00 gamma=90.00
Fractional positions:
Sc1 0.000 0.000 0.527
Zr1 0.000 0.000 0.976
Zr2 0.500 0.500 0.250
Zn1 0.500 0.500 0.747

Results
The space group is P4mm, No. 99. The crystal system is tetragonal. As for the formation enthalpy at 0 K: -0.637 eV/f.u.



Below is a geometry-optimized BaFeS2Cl structure, with properties calculated at the GGA-PBEsol level.

Unit cell a=4.574 b=4.574 c=5.027 alpha=90.00 beta=90.00 gamma=90.00
Last column: magnetic moment on the atom in μB.
Fractional positions:
Ba1 0.500 0.500 0.500  0.02
S1 0.000 0.500 0.000  0.14
S2 0.500 0.000 0.000  0.14
Cl1 0.000 0.000 0.500  0.06
Fe1 0.000 0.000 0.000  2.90

Results
The space group is P4/mmm, No. 123. The value obtained for the uncorrected formation energy is -1164.4 meV per atom. The crystal system is tetragonal.



Below is a geometry-optimized SrSn3F structure, with properties calculated at the GGA-PBEsol level.

Unit cell a=6.032 b=6.032 c=6.032 alpha=90.00 beta=90.00 gamma=90.00
Last column: magnetic moment on the atom in μB.
Fractional positions:
F1 0.500 0.500 0.500  0.18
Sn1 0.000 0.000 0.500  0.21
Sn2 0.000 0.500 0.000  0.21
Sn3 0.500 0.000 0.000  0.21
Sr1 0.000 0.000 0.000  0.20

Results
The space group is Pm-3m, No. 221. The value obtained for the uncorrected formation energy is 770.4 meV per atom. The crystal system is cubic.



Below is a geometry-optimized AgC3 structure, with properties calculated at the GGA-PBEsol level.

Unit cell a=2.823 b=2.823 c=4.800 alpha=90.00 beta=90.00 gamma=90.00
Fractional positions:
C1 0.000 0.000 0.500
C2 0.500 0.500 0.357
C3 0.500 0.500 0.643
Ag1 0.000 0.000 0.000

Results
The space group is P4/mmm, No. 123. The crystal system is tetragonal. As for the formation enthalpy at 0 K: 10.340 eV/f.u.



Below is a geometry-optimized SbP2SCl structure, with properties calculated at the GGA-PBEsol level.

Unit cell a=4.872 b=5.075 c=5.075 alpha=90.00 beta=90.00 gamma=90.00
Fractional positions:
P1 0.000 0.000 0.500
P2 0.000 0.500 0.000
Sb1 0.000 0.000 0.000
S1 0.500 0.500 0.500
Cl1 0.500 0.000 0.000

Results
The space group is P4/mmm, No. 123. The value obtained for the uncorrected formation energy is 1090.0 meV per atom. The crystal system is tetragonal.



Below is a geometry-optimized Sc2InCu structure, with properties calculated at the GGA-PBEsol level.

Unit cell a=3.133 b=3.133 c=7.962 alpha=90.00 beta=90.00 gamma=90.00
Last column: magnetic moment on the atom in μB.
Fractional positions:
Cu1 0.000 0.000 0.503  0.01
In1 0.500 0.500 0.712  0.00
Sc1 0.500 0.500 0.295  0.07
Sc2 0.000 0.000 0.990  0.14

Results
The space group is P4mm, No. 99. The crystal system is tetragonal. As for the formation enthalpy at 0 K: -0.773 eV/f.u.



Below is a geometry-optimized TaCrNi2 structure, with properties calculated at the GGA-PBEsol level.

Unit cell a=3.619 b=3.619 c=4.535 alpha=113.52 beta=113.52 gamma=90.00
Last column: magnetic moment on the atom in μB.
Fractional positions:
Cr1 0.500 0.500 0.000  0.57
Ni1 0.250 0.750 0.500  0.05
Ni2 0.750 0.250 0.500  0.05
Ta1 0.000 0.000 0.000  -0.06

Results
The space group is I4/mmm, No. 139. The crystal system is tetragonal. As for the formation enthalpy at 0 K: -0.375 eV/f.u.



Below is a geometry-optimized Cu2ReCl structure, with properties calculated at the GGA-PBEsol level.

Unit cell a=2.742 b=3.925 c=6.448 alpha=107.72 beta=102.28 gamma=90.00
Fractional positions:
Re1 0.522 0.522 0.044
Cl1 0.186 0.686 0.372
Cu1 0.837 0.337 0.675
Cu2 0.955 0.955 0.909

Results
The space group is Imm2, No. 44. The value obtained for the uncorrected formation energy is 542.0 meV per atom. The crystal system is orthorhombic.



Below is a geometry-optimized PIrCl structure, with properties calculated at the GGA-PBEsol level.

Unit cell a=3.472 b=3.472 c=5.209 alpha=90.00 beta=90.00 gamma=120.00
Fractional positions:
Ir1 0.333 0.667 0.628
P1 0.667 0.333 0.427
Cl1 0.000 0.000 0.945

Results
The space group is P3m1, No. 156. The value obtained for the uncorrected formation energy is -238.9 meV per atom. The crystal system is trigonal.



Below is a geometry-optimized Ti3GeW structure, with properties calculated at the GGA-PBEsol level.

Unit cell a=4.699 b=4.699 c=4.699 alpha=90.00 beta=90.00 gamma=90.00
Last column: magnetic moment on the atom in μB.
Fractional positions:
W1 0.000 0.000 0.000  -0.03
Ti1 0.500 0.000 0.000  0.37
Ti2 0.000 0.500 0.000  0.37
Ti3 0.000 0.000 0.500  0.37
Ge1 0.500 0.500 0.500  -0.02

Results
The space group is Pm-3m, No. 221. The crystal system is cubic. As for the formation enthalpy at 0 K: 4.687 eV/f.u.



Below is a geometry-optimized Ta4CdHg structure, with properties calculated at the GGA-PBEsol level.

Unit cell a=5.461 b=5.461 c=5.461 alpha=60.00 beta=60.00 gamma=60.00
Fractional positions:
Cd1 0.750 0.750 0.750
Hg1 0.000 0.000 0.000
Ta1 0.376 0.873 0.376
Ta2 0.376 0.376 0.873
Ta3 0.873 0.376 0.376
Ta4 0.376 0.376 0.376

Results
The space group is F-43m, No. 216. The crystal system is cubic. As for the formation enthalpy at 0 K: 3.086 eV/f.u.



Below is a geometry-optimized ZnMoW2 structure, with properties calculated at the GGA-PBEsol level.

Unit cell a=2.619 b=4.257 c=5.464 alpha=90.00 beta=90.00 gamma=90.00
Fractional positions:
Zn1 0.000 0.000 0.501
Mo1 0.500 0.500 0.743
W1 0.500 0.500 0.255
W2 0.000 0.000 0.000

Results
The space group is Pmm2, No. 25. The crystal system is orthorhombic. As for the formation enthalpy at 0 K: 1.222 eV/f.u.



How do the records compare in total energy? In the order shown, they have -27.0 -27.7 -12.7 -21.9 -17.1 -21.3 -35.5 -21.8 -18.3 -39.0 -48.9 -39.7 eV per formula unit.
How do the records compare in V? In the order shown, they have 80.5 105.2 219.5 38.3 125.5 78.1 49.0 64.4 54.4 103.7 115.1 60.9 Å³/cell.